Record 1
A plane-wave DFT calculation with PBE-GGA was carried out for crystalline ZnInTe2 at its relaxed geometry.

Final energy = -10.46 eV per formula unit
Formation energy from raw total energies = -0.04 eV per atom

Cell: 4.0721 8.8025 8.1023 Å, 90.00 90.00 90.00°
Last column: nearest neighbours and their distance in Å.
Space group Cmmm (No. 65)
Symmetry-distinct sites (fractional):
Zn  0.0000  0.0000  0.0000  4 Te 2.74
In  0.0000  0.0000  0.5000  4 Te 3.01
Te  0.0000  0.5000  0.2258  2 Zn 2.74, 2 In 3.01

Record 2
A plane-wave DFT calculation with PBE-GGA was carried out for crystalline Pa4Se3O7 at its relaxed geometry.

Final energy = -121.56 eV per formula unit
Formation energy from raw total energies = -2.74 eV per atom

Cell: 14.8802 3.9091 10.0854 Å, 90.00 123.86 90.00°
Last column: nearest neighbours and their distance in Å.
Space group C2/m (No. 12)
Symmetry-distinct sites (fractional):
Pa  0.1291  0.0000  0.4443  3 O 1.99-2.15
Pa  0.1293  0.5000  0.9622  4 O 2.16-2.32
Se  0.0000  0.5000  0.5000  4 Pa 3.00, 2 O 3.18
Se  0.2094  0.0000  0.2233  9 O 2.93-3.28, 3 Pa 2.95-3.06
O  0.0003  0.0000  0.2199  1 Pa 1.99
O  0.0000  0.5000  0.0000  2 Pa 2.16
O  0.1787  0.5000  0.4199  3 Pa 2.15-2.39
O  0.1940  0.0000  0.9204  3 Pa 2.20-2.32, 1 O 2.41

Record 3
A plane-wave DFT calculation with PBE-GGA was carried out for crystalline HoU3In3Te8 at its relaxed geometry.

Final energy = -81.16 eV per formula unit
Formation energy from raw total energies = -0.62 eV per atom

Cell: 8.6989 8.6989 24.7738 Å, 90.00 90.00 120.00°
Last column: nearest neighbours and their distance in Å.
Space group R-3m (No. 166, hexagonal axes)
Symmetry-distinct sites (fractional):
Ho  0.0000  0.0000  0.0000  6 Te 3.09
U  0.0000  0.5000  0.0000  6 Te 3.10-3.11
In  0.0000  0.5000  0.5000  6 Te 3.40-3.42
Te  0.0000  0.0000  0.2591  3 U 3.11, 3 In 3.40
Te  0.9997  0.4998  0.2603  1 Ho 3.09, 2 U 3.10, 2 In 3.42